The following is a SCAN calculation of LaGaI2N at its PBEsol-relaxed geometry, from Alexandria.

Structure (extended XYZ):
```
5
Lattice="6.3781 0.0000 0.0000 0.0000 6.3781 0.0000 0.0000 0.0000 4.1429" Properties=species:S:1:pos:R:3 pbc="T T T"
La 0.0000 0.0000 0.0000
Ga 3.1890 3.1890 2.0715
I 0.0000 3.1890 0.0000
I 3.1890 0.0000 0.0000
N 0.0000 0.0000 2.0715
```

Computed properties:
**D(E_F)**: 0.23 states/eV per cell
**Energy**: -28.94 eV/atom
**E_form (uncorrected)**: -0.50 eV/atom